Material: Na2CdHgAu
Method: DFT, PBE-GGA
State: relaxed

Output
Energy relative to the lowest polymorph listed for this composition in meV/atom: 193
Crystal system: tetragonal
VASP energy in eV/cell: -6.55
N(E_F) in states/eV/atom: 0.50
Calculated formation energy in eV/f.u.: 0.58
SG: P4/mmm, No. 123

Unit cell a=5.6495 b=5.6495 c=5.2806 alpha=90.00 beta=90.00 gamma=90.00
Closest atoms and distances in Å follow each position.
Sites, in units of the cell vectors:
Na: 0.0000 0.5000 0.0000  2 Hg 2.82
Na: 0.5000 0.0000 0.0000  2 Hg 2.82
Cd: 0.0000 0.0000 0.5000  8 Na 3.87, 4 Au 3.99
Hg: 0.5000 0.5000 0.0000  2 Au 2.64, 4 Na 2.82
Au: 0.5000 0.5000 0.5000  2 Hg 2.64

***

Material: TbHf2Zr
Method: DFT, PBE-GGA
State: relaxed

Output
Energy relative to the lowest polymorph listed for this composition in meV/atom: 46
Crystal system: tetragonal
VASP energy in eV/cell: -32.41
N(E_F) in states/eV/atom: 1.38
Calculated formation energy in eV/f.u.: 0.67
SG: P4/mmm, No. 123

Unit cell a=4.5958 b=4.5958 c=4.6159 alpha=90.00 beta=90.00 gamma=90.00
Closest atoms and distances in Å follow each position.
Sites, in units of the cell vectors:
Tb: 0.0000 0.0000 0.0000  4 Zr 3.25, 8 Hf 3.26
Hf: 0.0000 0.5000 0.5000  4 Hf 3.25, 4 Tb 3.26, 4 Zr 3.26
Hf: 0.5000 0.0000 0.5000  4 Hf 3.25, 4 Tb 3.26, 4 Zr 3.26
Zr: 0.5000 0.5000 0.0000  4 Tb 3.25, 8 Hf 3.26

***

Material: ScInRe2Cl
Method: DFT, PBE-GGA
State: relaxed

Output
Crystal system: tetragonal
VASP energy in eV/cell: -31.54
N(E_F) in states/eV/atom: 0.87
Formation energy (no corrections) in eV per atom: 0.85
SG: P4/mmm, No. 123

Unit cell a=4.4600 b=4.4600 c=4.5769 alpha=90.00 beta=90.00 gamma=90.00
Closest atoms and distances in Å follow each position.
Sites, in units of the cell vectors:
Sc: 0.0000 0.0000 0.0000  2 Cl 2.29
In: 0.5000 0.5000 0.0000  4 Sc 3.15, 8 Re 3.20
Re: 0.0000 0.5000 0.5000  2 Cl 2.23
Re: 0.5000 0.0000 0.5000  2 Cl 2.23
Cl: 0.0000 0.0000 0.5000  4 Re 2.23, 2 Sc 2.29

***

Material: BeOsRu2
Method: DFT, PBE-GGA
State: relaxed

Output
Crystal system: orthorhombic
VASP energy in eV/cell: -33.57
N(E_F) in states/eV/atom: 0.71
Calculated formation energy in eV/f.u.: -0.06
SG: Immm, No. 71

Unit cell a=4.8824 b=4.8824 c=4.8824 alpha=146.54 beta=128.00 gamma=63.26
Closest atoms and distances in Å follow each position.
Sites, in units of the cell vectors:
Be: 0.0000 0.0000 0.0000  4 Ru 2.31, 4 Os 2.56
Os: 0.5000 0.5000 0.0000  4 Be 2.56, 8 Ru 2.72-2.82, 2 Os 2.81
Ru: 0.2205 0.7205 0.5000  2 Be 2.31
Ru: 0.7795 0.2795 0.5000  2 Be 2.31

***

Material: Ce2Tl3Sn3
Method: DFT, PBE-GGA
State: relaxed

Output
Energy relative to the lowest polymorph listed for this composition in meV/atom: 0
Crystal system: orthorhombic
VASP energy in eV/cell: -34.17
N(E_F) in states/eV/atom: 1.41
Calculated formation energy in eV/f.u.: -3.20
SG: Pmmm, No. 47

Unit cell a=4.7115 b=4.7484 c=9.7374 alpha=90.00 beta=90.00 gamma=90.00
Closest atoms and distances in Å follow each position.
Sites, in units of the cell vectors:
Ce: 0.0000 0.0000 0.2412  6 Sn 3.33-3.35, 6 Tl 3.34-3.46
Ce: 0.0000 0.0000 0.7588  6 Sn 3.33-3.35, 6 Tl 3.34-3.46
Tl: 0.0000 0.5000 0.0000  4 Ce 3.34, 8 Sn 3.34-3.37
Tl: 0.0000 0.5000 0.5000  4 Tl 3.34, 4 Sn 3.41, 4 Ce 3.46
Tl: 0.5000 0.0000 0.5000  4 Tl 3.34, 4 Sn 3.42, 4 Ce 3.45
Sn: 0.5000 0.0000 0.0000  4 Ce 3.33, 4 Tl 3.34, 4 Sn 3.38
Sn: 0.5000 0.5000 0.2474  4 Ce 3.35, 6 Tl 3.37-3.42, 2 Sn 3.38
Sn: 0.5000 0.5000 0.7526  4 Ce 3.35, 6 Tl 3.37-3.42, 2 Sn 3.38

***

Material: Sr3LiCe3Se8
Method: DFT, PBE-GGA
State: relaxed

Output
Crystal system: trigonal
VASP energy in eV/cell: -79.32
N(E_F) in states/eV/atom: 1.35
Formation energy (no corrections) in eV per atom: -1.78
SG: R-3m, No. 166

Unit cell a=8.6795 b=8.6795 c=8.6795 alpha=58.98 beta=58.98 gamma=58.98
Closest atoms and distances in Å follow each position.
Sites, in units of the cell vectors:
Sr: 0.0000 0.5000 0.5000  6 Se 3.08-3.14
Sr: 0.5000 0.0000 0.5000  6 Se 3.08-3.14
Sr: 0.5000 0.5000 0.0000  6 Se 3.08-3.14
Li: 0.5000 0.5000 0.5000  6 Se 2.94
Ce: 0.0000 0.0000 0.5000  6 Se 2.96-3.01
Ce: 0.0000 0.5000 0.0000  6 Se 2.96-3.01
Ce: 0.5000 0.0000 0.0000  6 Se 2.96-3.01
Se: 0.2436 0.7416 0.7416  1 Li 2.94, 2 Ce 2.96, 2 Sr 3.14
Se: 0.2469 0.2469 0.2469  3 Ce 3.01, 3 Sr 3.08
Se: 0.2584 0.2584 0.7564  1 Li 2.94, 2 Ce 2.96, 2 Sr 3.14
Se: 0.2584 0.7564 0.2584  1 Li 2.94, 2 Ce 2.96, 2 Sr 3.14
Se: 0.7416 0.2436 0.7416  1 Li 2.94, 2 Ce 2.96, 2 Sr 3.14
Se: 0.7416 0.7416 0.2436  1 Li 2.94, 2 Ce 2.96, 2 Sr 3.14
Se: 0.7531 0.7531 0.7531  3 Ce 3.01, 3 Sr 3.08
Se: 0.7564 0.2584 0.2584  1 Li 2.94, 2 Ce 2.96, 2 Sr 3.14

***

Material: Cu2IrAu
Method: DFT, PBE-GGA
State: relaxed

Output
Crystal system: tetragonal
VASP energy in eV/cell: -36.41
N(E_F) in states/eV/atom: 0.58
Calculated formation energy in eV/f.u.: 2.12
SG: I-42d, No. 122

Unit cell a=9.2296 b=9.2296 c=9.2296 alpha=156.27 beta=156.27 gamma=33.81
Closest atoms and distances in Å follow each position.
Sites, in units of the cell vectors:
Cu: 0.1075 0.6250 0.9825  2 Ir 2.56, 4 Cu 2.59-2.78, 2 Au 2.61
Cu: 0.3750 0.3575 0.4825  2 Ir 2.56, 4 Cu 2.59-2.78, 2 Au 2.61
Cu: 0.6425 0.1250 0.0175  2 Ir 2.56, 4 Cu 2.59-2.78, 2 Au 2.61
Cu: 0.8750 0.8925 0.5175  2 Ir 2.56, 4 Cu 2.59-2.78, 2 Au 2.61
Ir: 0.0000 0.0000 0.0000  4 Cu 2.56, 4 Au 2.68
Ir: 0.7500 0.2500 0.5000  4 Cu 2.56, 4 Au 2.68
Au: 0.2500 0.7500 0.5000  4 Cu 2.61, 4 Ir 2.68
Au: 0.5000 0.5000 0.0000  4 Cu 2.61, 4 Ir 2.68

***

Material: Y8Te4Pt3Se
Method: DFT, PBE-GGA
State: relaxed

Output
Crystal system: trigonal
VASP energy in eV/cell: -107.41
N(E_F) in states/eV/atom: 0.72
Formation energy (no corrections) in eV per atom: -1.35
SG: R-3m, No. 166

Unit cell a=8.6838 b=8.6838 c=8.6838 alpha=57.77 beta=57.77 gamma=57.77
Closest atoms and distances in Å follow each position.
Sites, in units of the cell vectors:
Y: 0.2285 0.7447 0.7447  2 Pt 2.85, 1 Se 2.95, 3 Te 3.10-3.19
Y: 0.2363 0.2363 0.2363  3 Pt 2.85
Y: 0.2553 0.2553 0.7715  2 Pt 2.85, 1 Se 2.95, 3 Te 3.10-3.19
Y: 0.2553 0.7715 0.2553  2 Pt 2.85, 1 Se 2.95, 3 Te 3.10-3.19
Y: 0.7447 0.2285 0.7447  2 Pt 2.85, 1 Se 2.95, 3 Te 3.10-3.19
Y: 0.7447 0.7447 0.2285  2 Pt 2.85, 1 Se 2.95, 3 Te 3.10-3.19
Y: 0.7637 0.7637 0.7637  3 Pt 2.85
Y: 0.7715 0.2553 0.2553  2 Pt 2.85, 1 Se 2.95, 3 Te 3.10-3.19
Te: 0.0000 0.0000 0.0000  6 Y 3.10
Te: 0.0000 0.5000 0.5000  6 Y 3.19-3.20
Te: 0.5000 0.0000 0.5000  6 Y 3.19-3.20
Te: 0.5000 0.5000 0.0000  6 Y 3.19-3.20
Pt: 0.0000 0.0000 0.5000  6 Y 2.85
Pt: 0.0000 0.5000 0.0000  6 Y 2.85
Pt: 0.5000 0.0000 0.0000  6 Y 2.85
Se: 0.5000 0.5000 0.5000  6 Y 2.95

***

Material: TbAl3Co
Method: DFT, PBE-GGA
State: relaxed

Output
Energy relative to the lowest polymorph listed for this composition in meV/atom: 0
Crystal system: orthorhombic
VASP energy in eV/cell: -102.66
N(E_F) in states/eV/atom: 0.40
Calculated formation energy in eV/f.u.: -2.70
SG: Pnma, No. 62

Unit cell a=8.1835 b=4.0348 c=10.6726 alpha=90.00 beta=90.00 gamma=90.00
Closest atoms and distances in Å follow each position.
Sites, in units of the cell vectors:
Tb: 0.1906 0.2500 0.0097  10 Al 3.03-3.33, 2 Co 3.03
Tb: 0.3094 0.7500 0.5097  10 Al 3.03-3.33, 2 Co 3.03
Tb: 0.6906 0.2500 0.4903  10 Al 3.03-3.33, 2 Co 3.03
Tb: 0.8094 0.7500 0.9903  10 Al 3.03-3.33, 2 Co 3.03
Al: 0.0496 0.2500 0.5816  3 Co 2.46-2.52, 1 Al 2.63
Al: 0.1092 0.7500 0.7791  2 Co 2.35-2.39
Al: 0.1491 0.7500 0.2248  2 Co 2.48, 1 Al 2.63
Al: 0.3509 0.2500 0.7248  2 Co 2.48, 1 Al 2.63
Al: 0.3908 0.2500 0.2791  2 Co 2.35-2.39
Al: 0.4504 0.7500 0.0816  3 Co 2.46-2.52, 1 Al 2.63
Al: 0.5496 0.2500 0.9184  3 Co 2.46-2.52, 1 Al 2.63
Al: 0.6092 0.7500 0.7209  2 Co 2.35-2.39
Al: 0.6491 0.7500 0.2752  2 Co 2.48, 1 Al 2.63
Al: 0.8509 0.2500 0.7752  2 Co 2.48, 1 Al 2.63
Al: 0.8908 0.2500 0.2209  2 Co 2.35-2.39
Al: 0.9504 0.7500 0.4184  3 Co 2.46-2.52, 1 Al 2.63
Co: 0.1169 0.2500 0.3572  7 Al 2.35-2.52
Co: 0.3831 0.7500 0.8572  7 Al 2.35-2.52
Co: 0.6169 0.2500 0.1428  7 Al 2.35-2.52
Co: 0.8831 0.7500 0.6428  7 Al 2.35-2.52

***

Material: KSnRh2C
Method: DFT, PBE-GGA
State: relaxed

Output
Crystal system: tetragonal
VASP energy in eV/cell: -26.16
N(E_F) in states/eV/atom: 0.57
Calculated formation energy in eV/f.u.: 2.87
SG: P4/mmm, No. 123

Unit cell a=4.2109 b=4.2109 c=5.0742 alpha=90.00 beta=90.00 gamma=90.00
Closest atoms and distances in Å follow each position.
Sites, in units of the cell vectors:
K: 0.0000 0.0000 0.0000  4 Sn 2.98, 8 Rh 3.30
Sn: 0.5000 0.5000 0.0000  2 C 2.54
Rh: 0.0000 0.5000 0.5000  2 C 2.11
Rh: 0.5000 0.0000 0.5000  2 C 2.11
C: 0.5000 0.5000 0.5000  4 Rh 2.11

***

Material: Ce2NdReN5
Method: DFT, PBE-GGA
State: relaxed

Output
Crystal system: tetragonal
VASP energy in eV/cell: -160.49
N(E_F) in states/eV/atom: 0.96
Formation energy (no corrections) in eV per atom: -1.06
SG: I4/mcm, No. 140

Unit cell a=7.4750 b=7.4750 c=7.4750 alpha=126.92 beta=126.92 gamma=78.38
Closest atoms and distances in Å follow each position.
Sites, in units of the cell vectors:
Ce: 0.1744 0.6744 0.8489  4 N 2.34-2.47
Ce: 0.3256 0.1744 0.5000  4 N 2.34-2.47
Ce: 0.6744 0.8256 0.5000  4 N 2.34-2.47
Ce: 0.8256 0.3256 0.1511  4 N 2.34-2.47
Nd: 0.2500 0.2500 0.0000  10 N 2.83-2.90
Nd: 0.7500 0.7500 0.0000  10 N 2.83-2.90
Re: 0.2500 0.7500 0.5000  4 N 1.88
Re: 0.7500 0.2500 0.5000  4 N 1.88
N: 0.0000 0.0000 0.0000  4 Ce 2.47
N: 0.0072 0.2058 0.5000  1 Re 1.88
N: 0.2058 0.7058 0.1986  1 Re 1.88
N: 0.2942 0.4928 0.5000  1 Re 1.88
N: 0.4928 0.9928 0.1986  1 Re 1.88
N: 0.5000 0.5000 0.0000  4 Ce 2.47
N: 0.5072 0.0072 0.8014  1 Re 1.88
N: 0.7058 0.5072 0.5000  1 Re 1.88
N: 0.7942 0.2942 0.8014  1 Re 1.88
N: 0.9928 0.7942 0.5000  1 Re 1.88

***

Material: SmHoH4
Method: DFT, PBE-GGA
State: relaxed

Output
Crystal system: tetragonal
VASP energy in eV/cell: -53.64
N(E_F) in states/eV/atom: 0.33
SG: I4_1/amd, No. 141

Unit cell a=6.4488 b=6.4488 c=6.4488 alpha=131.98 beta=131.98 gamma=70.27
Closest atoms and distances in Å follow each position.
Sites, in units of the cell vectors:
Sm: 0.3750 0.6250 0.7500  8 H 2.31
Sm: 0.6250 0.3750 0.2500  8 H 2.31
Ho: 0.1250 0.8750 0.2500  8 H 2.24
Ho: 0.8750 0.1250 0.7500  8 H 2.24
H: 0.0000 0.2393 0.2393  2 Ho 2.24, 2 Sm 2.31, 1 H 2.51
H: 0.0000 0.7607 0.7607  2 Ho 2.24, 2 Sm 2.31, 1 H 2.51
H: 0.2393 0.0000 0.7393  2 Ho 2.24, 2 Sm 2.31, 1 H 2.51
H: 0.2393 0.5000 0.2393  2 Ho 2.24, 2 Sm 2.31, 1 H 2.51
H: 0.5000 0.2393 0.7393  2 Ho 2.24, 2 Sm 2.31, 1 H 2.51
H: 0.5000 0.7607 0.2607  2 Ho 2.24, 2 Sm 2.31, 1 H 2.51
H: 0.7607 0.0000 0.2607  2 Ho 2.24, 2 Sm 2.31, 1 H 2.51
H: 0.7607 0.5000 0.7607  2 Ho 2.24, 2 Sm 2.31, 1 H 2.51

***

What did the twelfth record say?
Material: SmHoH4
Method: DFT, PBE-GGA
State: relaxed

Output
Crystal system: tetragonal
VASP energy in eV/cell: -53.64
N(E_F) in states/eV/atom: 0.33
SG: I4_1/amd, No. 141

Unit cell a=6.4488 b=6.4488 c=6.4488 alpha=131.98 beta=131.98 gamma=70.27
Closest atoms and distances in Å follow each position.
Sites, in units of the cell vectors:
Sm: 0.3750 0.6250 0.7500  8 H 2.31
Sm: 0.6250 0.3750 0.2500  8 H 2.31
Ho: 0.1250 0.8750 0.2500  8 H 2.24
Ho: 0.8750 0.1250 0.7500  8 H 2.24
H: 0.0000 0.2393 0.2393  2 Ho 2.24, 2 Sm 2.31, 1 H 2.51
H: 0.0000 0.7607 0.7607  2 Ho 2.24, 2 Sm 2.31, 1 H 2.51
H: 0.2393 0.0000 0.7393  2 Ho 2.24, 2 Sm 2.31, 1 H 2.51
H: 0.2393 0.5000 0.2393  2 Ho 2.24, 2 Sm 2.31, 1 H 2.51
H: 0.5000 0.2393 0.7393  2 Ho 2.24, 2 Sm 2.31, 1 H 2.51
H: 0.5000 0.7607 0.2607  2 Ho 2.24, 2 Sm 2.31, 1 H 2.51
H: 0.7607 0.0000 0.2607  2 Ho 2.24, 2 Sm 2.31, 1 H 2.51
H: 0.7607 0.5000 0.7607  2 Ho 2.24, 2 Sm 2.31, 1 H 2.51